# AlFeSe2

AlFeSe2 after structural relaxation (PBE, Alexandria via LeMat-Bulk).

CIF file:
```
data_AlFeSe2
_chemical_formula_sum 'Al1 Fe1 Se2'
_symmetry_space_group_name_H-M 'P 1'
_symmetry_Int_Tables_number 1
_cell_length_a 5.371
_cell_length_b 5.371
_cell_length_c 3.559
_cell_angle_alpha 90.00
_cell_angle_beta 90.00
_cell_angle_gamma 129.00
loop_
_symmetry_equiv_pos_as_xyz
'x,y,z'
loop_
_atom_site_label
_atom_site_fract_x
_atom_site_fract_y
_atom_site_fract_z
Al1 0.000 0.000 0.000
Fe1 0.500 0.500 0.000
Se1 0.344 0.656 0.500
Se2 0.656 0.344 0.500
```

space-group type: Cmmm, No. 65
raw formation energy: -0.036 eV/atom